A:
VASP calculation (PBE-GGA) on a relaxed structure of CeAlSe3.

Cell lengths 13.7007, 11.6543, 7.3940 Å; angles 90.00, 107.07, 90.00 degrees
With the nearest neighbours (Å) after each atom.
Space group C2/c (No. 15)
One atom of each set of equivalent atoms:
Ce: 0.0000 0.0993 0.2500 [4 per cell]  6 Se 2.88-3.03
Ce: 0.0000 0.3243 0.7500 [4 per cell]  8 Se 3.01-3.32
Al: 0.2048 0.4084 0.2439 [8 per cell]  4 Se 2.36-2.45
Se: 0.1123 0.1055 0.6541 [8 per cell]  1 Al 2.40
Se: 0.1248 0.4576 0.4890 [8 per cell]  2 Al 2.45
Se: 0.1409 0.2300 0.1109 [8 per cell]  1 Al 2.36

Calculated values
mass density: 4.755 Mg/m³

***

B:
VASP calculation (PBE-GGA) on a relaxed structure of CeAlSe3.

Cell lengths 6.8874, 14.5459, 4.8021 Å; angles 90.00, 90.00, 90.00 degrees
With the nearest neighbours (Å) after each atom.
Space group Cmmm (No. 65)
One atom of each set of equivalent atoms:
Ce: 0.0000 0.1576 0.0000 [4 per cell]  5 Se 2.95-3.25
Al: 0.0000 0.3926 0.5000 [4 per cell]  6 Se 2.45-2.70
Se: 0.0000 0.3602 0.0000 [4 per cell]  2 Al 2.45
Se: 0.2197 0.0000 0.5000 [4 per cell]  2 Al 2.48
Se: 0.2500 0.2500 0.5000 [4 per cell]  2 Al 2.70

Calculated values
mass density: 5.577 Mg/m³

***

Q: Which of them is the least stable? A: B.

***

A:
VASP calculation (PBE-GGA) on a relaxed structure of Ce3AlSi2.

Cell lengths 15.7398, 6.1169, 6.1244 Å; angles 90.00, 112.85, 90.00 degrees
With the nearest neighbours (Å) after each atom.
Space group C2/c (No. 15)
One atom of each set of equivalent atoms:
Ce: 0.0000 0.0003 0.2500 [4 per cell]  4 Si 2.98, 2 Al 3.06, 6 Ce 3.06-3.15
Ce: 0.1662 0.2174 0.1662 [8 per cell]  5 Si 2.98-3.14, 2 Ce 3.15, 2 Al 3.34
Al: 0.0000 0.5002 0.2500 [4 per cell]  4 Si 2.74, 2 Ce 3.06, 2 Al 3.06
Si: 0.1281 0.2863 0.6282 [8 per cell]  2 Al 2.74, 3 Ce 2.98

Calculated values
mass density: 6.155 Mg/m³

***

B:
VASP calculation (PBE-GGA) on a relaxed structure of Ce3AlSi2.

Cell lengths 12.2064, 4.1370, 10.7326 Å; angles 90.00, 90.00, 90.00 degrees
With the nearest neighbours (Å) after each atom.
Space group Pnma (No. 62)
One atom of each set of equivalent atoms:
Ce: 0.0420 0.2500 0.0912 [4 per cell]  2 Ce 3.03, 5 Si 3.05-3.08, 1 Al 3.10
Ce: 0.1261 0.7500 0.5776 [4 per cell]  2 Ce 3.08, 3 Al 3.09-3.13, 5 Si 3.09-3.22
Ce: 0.2103 0.2500 0.7669 [4 per cell]  5 Si 2.99-3.21, 2 Al 3.06, 2 Ce 3.08
Al: 0.1255 0.2500 0.3643 [4 per cell]  3 Si 2.49
Si: 0.0280 0.7500 0.2994 [4 per cell]  2 Al 2.49
Si: 0.2012 0.7500 0.9859 [4 per cell]  1 Al 2.49

Calculated values
mass density: 6.171 Mg/m³

***

Q: Which of them is the least stable? A: A.

***

A:
VASP calculation (PBE-GGA) on a relaxed structure of CeSmAl.

Cell lengths 8.1428, 8.8229, 5.6166 Å; angles 90.00, 90.00, 90.00 degrees
With the nearest neighbours (Å) after each atom.
Space group Cmmm (No. 65)
One atom of each set of equivalent atoms:
Ce: 0.0000 0.1648 0.0000 [4 per cell]  1 Ce 2.91, 3 Sm 2.96-3.16
Sm: 0.0000 0.0000 0.5000 [2 per cell]  2 Al 2.81
Sm: 0.0000 0.5000 0.0000 [2 per cell]  2 Ce 2.96, 4 Al 3.08
Al: 0.1547 0.5000 0.5000 [4 per cell]  1 Al 2.52, 1 Sm 2.81

Calculated values
mass density: 5.226 Mg/m³

***

B:
VASP calculation (PBE-GGA) on a relaxed structure of CeSmAl.

Cell lengths 3.3548, 3.3548, 14.3394 Å; angles 90.00, 90.00, 90.00 degrees
With the nearest neighbours (Å) after each atom.
Space group I4mm (No. 107)
One atom of each set of equivalent atoms:
Ce: 0.0000 0.0000 0.0000 [2 per cell]  4 Al 3.17, 4 Ce 3.35
Sm: 0.0000 0.0000 0.7051 [2 per cell]  4 Al 3.18, 4 Sm 3.35
Al: 0.0000 0.0000 0.3531 [2 per cell]  4 Ce 3.17, 4 Sm 3.18, 4 Al 3.35

Calculated values
mass density: 6.533 Mg/m³

***

C:
VASP calculation (PBE-GGA) on a relaxed structure of CeSmAl.

Cell lengths 5.6006, 5.7232, 6.1440 Å; angles 92.99, 109.96, 118.93 degrees
With the nearest neighbours (Å) after each atom.
Space group P-1 (No. 2)
One atom of each set of equivalent atoms:
Ce: 0.0349 0.4201 0.2038 [2 per cell]  1 Ce 2.68
Sm: 0.2939 0.2277 0.7592 [2 per cell]  5 Al 3.15-3.44, 3 Ce 3.21-3.37, 2 Sm 3.35-3.38
Al: 0.4043 0.1031 0.2923 [2 per cell]  1 Al 2.95, 4 Sm 3.15-3.30, 1 Ce 3.29

Calculated values
mass density: 6.747 Mg/m³

***

Q: Which of them is the least stable? A: A.

***

A:
VASP calculation (PBE-GGA) on a relaxed structure of CeSmAl.

Cell lengths 5.2173, 5.2173, 3.1085 Å; angles 90.00, 90.00, 120.00 degrees
With the nearest neighbours (Å) after each atom.
Space group P3m1 (No. 156)
One atom of each set of equivalent atoms:
Ce: 0.0000 0.0000 0.0000 [1 per cell]  3 Sm 3.01, 2 Ce 3.11
Sm: 0.6667 0.3333 0.0026 [1 per cell]  3 Ce 3.01, 2 Sm 3.11
Al: 0.3333 0.6667 0.5009 [1 per cell]  2 Al 3.11, 6 Sm 3.39, 6 Ce 3.39

Calculated values
mass density: 7.194 Mg/m³

***

B:
VASP calculation (PBE-GGA) on a relaxed structure of CeSmAl.

Cell lengths 3.3944, 5.2379, 8.7164 Å; angles 89.97, 79.42, 89.98 degrees
With the nearest neighbours (Å) after each atom.
Space group P-1 (No. 2)
One atom of each set of equivalent atoms:
Ce: 0.2363 0.2493 0.4739 [2 per cell]  6 Ce 3.05-3.39, 2 Al 3.14-3.18, 1 Sm 3.40
Sm: 0.0684 0.7502 0.8765 [2 per cell]  6 Al 3.20-3.38, 4 Sm 3.37-3.39, 2 Ce 3.40-3.50
Al: 0.3987 0.7496 0.2156 [2 per cell]  4 Ce 3.14-3.43, 6 Sm 3.20-3.38, 2 Al 3.39

Calculated values
mass density: 6.921 Mg/m³

***

Q: Which of them is the least stable? A: A.

***

A:
VASP calculation (PBE-GGA) on a relaxed structure of CeSm3Al8.

Cell lengths 5.6219, 5.6219, 9.2624 Å; angles 90.00, 90.00, 120.00 degrees
With the nearest neighbours (Å) after each atom.
Space group P3m1 (No. 156)
One atom of each set of equivalent atoms:
Ce: 0.0000 0.0000 0.0000 [1 per cell]  12 Al 3.27-3.36, 4 Sm 3.31-3.48
Sm: 0.0000 0.0000 0.3576 [1 per cell]  12 Al 3.25-3.38, 1 Ce 3.31, 3 Sm 3.50
Sm: 0.6667 0.3333 0.4977 [1 per cell]  12 Al 3.28-3.34, 4 Sm 3.40-3.50
Sm: 0.6667 0.3333 0.8648 [1 per cell]  12 Al 3.29-3.33, 1 Sm 3.40, 3 Ce 3.48
Al: 0.1622 0.3244 0.6804 [3 per cell]  6 Al 2.74-2.89
Al: 0.3333 0.6667 0.4339 [1 per cell]  6 Al 2.83-2.87
Al: 0.3333 0.6667 0.9307 [1 per cell]  6 Al 2.85-2.86
Al: 0.5040 0.0081 0.1808 [3 per cell]  6 Al 2.74-2.88

Calculated values
mass density: 5.286 Mg/m³

***

B:
VASP calculation (PBE-GGA) on a relaxed structure of CeSm3Al8.

Cell lengths 5.6362, 5.6362, 27.6055 Å; angles 90.00, 90.00, 120.00 degrees
With the nearest neighbours (Å) after each atom.
Space group R3m (No. 160, hexagonal axes)
One atom of each set of equivalent atoms:
Ce: 0.0000 0.0000 0.0000 [3 per cell]  12 Al 3.30-3.31, 4 Sm 3.43-3.44
Sm: 0.0000 0.0000 0.3742 [3 per cell]  12 Al 3.29-3.32, 3 Ce 3.44, 1 Sm 3.48
Sm: 0.0000 0.0000 0.5003 [3 per cell]  12 Al 3.29-3.30, 4 Sm 3.46-3.48
Sm: 0.0000 0.0000 0.8759 [3 per cell]  12 Al 3.29-3.32, 1 Ce 3.43, 3 Sm 3.46
Al: 0.0000 0.0000 0.1872 [3 per cell]  6 Al 2.80-2.82
Al: 0.0000 0.0000 0.6877 [3 per cell]  6 Al 2.82
Al: 0.1670 0.3340 0.2708 [9 per cell]  6 Al 2.81-2.82
Al: 0.1672 0.3344 0.7711 [9 per cell]  6 Al 2.80-2.83

Calculated values
mass density: 5.294 Mg/m³

***

Q: Which of them is the least stable? A: A.

***

A:
VASP calculation (PBE-GGA) on a relaxed structure of CeSm2Al.

Cell lengths 4.8638, 4.8638, 4.6382 Å; angles 90.00, 90.00, 90.00 degrees
With the nearest neighbours (Å) after each atom.
Space group P4/mmm (No. 123)
One atom of each set of equivalent atoms:
Ce: 0.0000 0.0000 0.0000 [1 per cell]  8 Sm 3.36, 4 Al 3.44
Sm: 0.0000 0.5000 0.5000 [2 per cell]  4 Ce 3.36, 4 Al 3.36, 4 Sm 3.44
Al: 0.5000 0.5000 0.0000 [1 per cell]  8 Sm 3.36, 4 Ce 3.44

Calculated values
mass density: 7.080 Mg/m³

***

B:
VASP calculation (PBE-GGA) on a relaxed structure of CeSm2Al.

Cell lengths 3.5523, 3.5523, 8.9153 Å; angles 90.00, 90.00, 90.00 degrees
With the nearest neighbours (Å) after each atom.
Space group P4/mmm (No. 123)
One atom of each set of equivalent atoms:
Ce: 0.0000 0.0000 0.0000 [1 per cell]  8 Sm 3.54, 4 Ce 3.55
Sm: 0.5000 0.5000 0.2791 [2 per cell]  4 Al 3.19, 4 Ce 3.54, 4 Sm 3.55
Al: 0.0000 0.0000 0.5000 [1 per cell]  8 Sm 3.19, 4 Al 3.55

Calculated values
mass density: 6.905 Mg/m³

***

Q: Which of them is the least stable? A: B.

***

A:
VASP calculation (PBE-GGA) on a relaxed structure of CeAlSn2.

Cell lengths 3.3709, 3.3709, 32.4881 Å; angles 90.00, 90.00, 120.00 degrees
With the nearest neighbours (Å) after each atom.
Space group R-3m (No. 166, hexagonal axes)
One atom of each set of equivalent atoms:
Ce: 0.0000 0.0000 0.0000 [3 per cell]  2 Sn 3.21, 6 Ce 3.37
Al: 0.0000 0.0000 0.5000 [3 per cell]  6 Sn 2.94
Sn: 0.0000 0.0000 0.0987 [6 per cell]  3 Al 2.94, 1 Ce 3.21

Calculated values
mass density: 6.303 Mg/m³

***

B:
VASP calculation (PBE-GGA) on a relaxed structure of CeAlSn2.

Cell lengths 3.8359, 3.8359, 6.7444 Å; angles 90.00, 90.00, 90.00 degrees
With the nearest neighbours (Å) after each atom.
Space group P4/mmm (No. 123)
One atom of each set of equivalent atoms:
Ce: 0.0000 0.0000 0.0000 [1 per cell]  8 Sn 3.32, 2 Al 3.37
Al: 0.0000 0.0000 0.5000 [1 per cell]  8 Sn 3.08, 2 Ce 3.37
Sn: 0.5000 0.5000 0.2839 [2 per cell]  1 Sn 2.92, 4 Al 3.08

Calculated values
mass density: 6.769 Mg/m³

***

Q: Which of them is the least stable? A: A.

***

A:
VASP calculation (PBE-GGA) on a relaxed structure of TbCe2Al.

Cell lengths 7.5753, 7.5753, 7.5753 Å; angles 90.00, 90.00, 90.00 degrees
With the nearest neighbours (Å) after each atom.
Space group Fm-3m (No. 225)
One atom of each set of equivalent atoms:
Tb: 0.0000 0.0000 0.0000 [4 per cell]  8 Ce 3.28
Ce: 0.2500 0.2500 0.2500 [8 per cell]  4 Tb 3.28, 4 Al 3.28
Al: 0.0000 0.0000 0.5000 [4 per cell]  8 Ce 3.28

Calculated values
mass density: 7.122 Mg/m³

***

B:
VASP calculation (PBE-GGA) on a relaxed structure of TbCe2Al.

Cell lengths 6.3761, 4.9901, 6.5835 Å; angles 90.00, 90.08, 90.00 degrees
With the nearest neighbours (Å) after each atom.
Space group P2_1/m (No. 11)
One atom of each set of equivalent atoms:
Tb: 0.2491 0.2500 0.1009 [2 per cell]  4 Al 3.09-3.23
Ce: 0.0326 0.2500 0.6109 [2 per cell]  3 Ce 2.78-2.92
Ce: 0.4679 0.2500 0.6111 [2 per cell]  3 Ce 2.78-2.92
Al: 0.2508 0.7500 0.8227 [2 per cell]  4 Tb 3.09-3.23, 6 Ce 3.18-3.38

Calculated values
mass density: 7.391 Mg/m³

***

Q: Which of them is the least stable? A: A.

***

A:
VASP calculation (PBE-GGA) on a relaxed structure of TbCe2Al.

Cell lengths 3.1864, 3.1864, 35.0998 Å; angles 90.00, 90.00, 120.00 degrees
With the nearest neighbours (Å) after each atom.
Space group R-3m (No. 166, hexagonal axes)
One atom of each set of equivalent atoms:
Tb: 0.0000 0.0000 0.0000 [3 per cell]  6 Tb 3.19, 2 Ce 3.23
Ce: 0.0000 0.0000 0.0919 [6 per cell]  6 Ce 3.19, 3 Al 3.20, 1 Tb 3.23
Al: 0.0000 0.0000 0.5000 [3 per cell]  6 Al 3.19, 6 Ce 3.20

Calculated values
mass density: 7.524 Mg/m³

***

B:
VASP calculation (PBE-GGA) on a relaxed structure of TbCe2Al.

Cell lengths 3.9452, 3.9452, 7.1274 Å; angles 90.00, 90.00, 90.00 degrees
With the nearest neighbours (Å) after each atom.
Space group P4/mmm (No. 123)
One atom of each set of equivalent atoms:
Tb: 0.0000 0.0000 0.0000 [1 per cell]  8 Ce 3.53, 2 Al 3.56, 4 Tb 3.95
Ce: 0.5000 0.5000 0.3032 [2 per cell]  1 Ce 2.81, 4 Al 3.12
Al: 0.0000 0.0000 0.5000 [1 per cell]  8 Ce 3.12

Calculated values
mass density: 6.978 Mg/m³

***

C:
VASP calculation (PBE-GGA) on a relaxed structure of TbCe2Al.

Cell lengths 4.5635, 4.5635, 4.9893 Å; angles 90.00, 90.00, 90.00 degrees
With the nearest neighbours (Å) after each atom.
Space group P4/mmm (No. 123)
One atom of each set of equivalent atoms:
Tb: 0.0000 0.0000 0.0000 [1 per cell]  4 Al 3.23, 8 Ce 3.38
Ce: 0.0000 0.5000 0.5000 [2 per cell]  4 Ce 3.23, 4 Al 3.38, 4 Tb 3.38
Al: 0.5000 0.5000 0.0000 [1 per cell]  4 Tb 3.23, 8 Ce 3.38

Calculated values
mass density: 7.449 Mg/m³

***

Q: Which of them is the least stable? A: A.

***

A:
VASP calculation (PBE-GGA) on a relaxed structure of CeAl2Tc.

Cell lengths 4.6375, 6.8162, 5.1237 Å; angles 90.00, 109.39, 90.00 degrees
With the nearest neighbours (Å) after each atom.
Space group P2_1/m (No. 11)
One atom of each set of equivalent atoms:
Ce: 0.0330 0.2500 0.1262 [2 per cell]  1 Tc 2.42
Al: 0.3967 0.0535 0.7106 [4 per cell]  3 Al 2.68-2.89, 3 Tc 2.71
Tc: 0.1339 0.7500 0.3747 [2 per cell]  1 Ce 2.42, 6 Al 2.71

Calculated values
mass density: 6.349 Mg/m³

***

B:
VASP calculation (PBE-GGA) on a relaxed structure of CeAl2Tc.

Cell lengths 3.1759, 3.1759, 7.2908 Å; angles 90.00, 90.00, 90.00 degrees
With the nearest neighbours (Å) after each atom.
Space group P4/mmm (No. 123)
One atom of each set of equivalent atoms:
Ce: 0.0000 0.0000 0.0000 [1 per cell]  4 Ce 3.18, 8 Al 3.22
Al: 0.5000 0.5000 0.3165 [2 per cell]  4 Tc 2.61, 1 Al 2.68
Tc: 0.0000 0.0000 0.5000 [1 per cell]  8 Al 2.61

Calculated values
mass density: 6.595 Mg/m³

***

C:
VASP calculation (PBE-GGA) on a relaxed structure of CeAl2Tc.

Cell lengths 4.3098, 4.3098, 15.3708 Å; angles 90.00, 90.00, 120.00 degrees
With the nearest neighbours (Å) after each atom.
Space group R-3m (No. 166, hexagonal axes)
One atom of each set of equivalent atoms:
Ce: 0.0000 0.0000 0.0000 [3 per cell]  8 Al 3.15-3.20
Al: 0.0000 0.0000 0.2081 [6 per cell]  3 Tc 2.57, 3 Al 2.80
Tc: 0.0000 0.0000 0.5000 [3 per cell]  6 Al 2.57

Calculated values
mass density: 5.885 Mg/m³

***

Q: Which of them is the least stable? A: C.

***

A:
VASP calculation (PBE-GGA) on a relaxed structure of Ce3AlTc.

Cell lengths 10.7614, 4.9625, 8.5954 Å; angles 90.00, 96.79, 90.00 degrees
With the nearest neighbours (Å) after each atom.
Space group C2/m (No. 12)
One atom of each set of equivalent atoms:
Ce: 0.0652 0.0000 0.3378 [4 per cell]  3 Ce 2.85-3.18, 3 Tc 3.02-3.11, 2 Al 3.10
Ce: 0.1162 0.5000 0.6348 [4 per cell]  3 Tc 2.71-2.93
Ce: 0.1302 0.0000 0.9176 [4 per cell]  1 Ce 2.85, 1 Tc 3.04, 3 Al 3.13-3.17
Al: 0.0814 0.5000 0.1246 [4 per cell]  1 Al 2.60, 1 Tc 2.61
Tc: 0.2406 0.5000 0.3784 [4 per cell]  1 Al 2.61, 1 Ce 2.71

Calculated values
mass density: 7.947 Mg/m³

***

B:
VASP calculation (PBE-GGA) on a relaxed structure of Ce3AlTc.

Cell lengths 9.1330, 6.0495, 10.3022 Å; angles 90.00, 122.28, 90.00 degrees
With the nearest neighbours (Å) after each atom.
Space group P2_1/c (No. 14)
One atom of each set of equivalent atoms:
Ce: 0.0362 0.0346 0.3048 [4 per cell]  2 Tc 2.78-2.94, 1 Ce 2.98
Ce: 0.3190 0.1756 0.6985 [4 per cell]  1 Tc 2.51
Ce: 0.3764 0.6884 0.9253 [4 per cell]  2 Tc 2.88-2.95, 2 Ce 2.98-2.99, 1 Al 3.20
Al: 0.1369 0.6617 0.5586 [4 per cell]  1 Tc 2.72, 1 Al 2.88
Tc: 0.2829 0.1385 0.9651 [4 per cell]  2 Ce 2.51-2.78, 1 Al 2.72

Calculated values
mass density: 7.527 Mg/m³

***

Q: Which of them is the least stable? A: B.